P.
Density functional theory data (PBE-GGA) for a relaxed structure of LuPuTc.

Results
The crystal system is tetragonal. As for the space group: I4mm, No. 107. The calculation puts the calculated volume at 67 Å³ per cell. The theoretical density comes out at 12.8 Mg/m³.

a b c (Å): 6.4170 6.4170 6.4170
angles (deg): 149.74 149.74 43.33
With the nearest neighbours (Å) after each atom.
Positions (direct):
Lu (0.0000, 0.0000, 0.0000)  4 Tc 2.95
Pu (0.2801, 0.2801, 0.0000)  4 Tc 2.85
Tc (0.6468, 0.6468, 0.0000)  4 Pu 2.85, 4 Lu 2.95


Q.
Density functional theory data (PBE-GGA) for a relaxed structure of LuPuTc.

Results
The crystal system is hexagonal. As for the space group: P-6m2, No. 187. The calculation puts the calculated volume at 64 Å³ per cell. The theoretical density comes out at 13.3 Mg/m³.

a b c (Å): 4.6473 4.6473 3.4406
angles (deg): 90.00 90.00 120.00
With the nearest neighbours (Å) after each atom.
Positions (direct):
Lu (0.0000, 0.0000, 0.0000)  6 Pu 3.19, 6 Tc 3.19, 2 Lu 3.44
Pu (0.3333, 0.6667, 0.5000)  3 Tc 2.68
Tc (0.6667, 0.3333, 0.5000)  3 Pu 2.68


The most stable arrangement is P, and the next structure is 5.7 kJ/mol of atoms less stable.


P.
Density functional theory data (PBE-GGA) for a relaxed structure of LuPuTe2.

Results
The crystal system is tetragonal. As for the space group: P4/mmm, No. 123. The calculation puts the calculated volume at 107 Å³ per cell. The theoretical density comes out at 10.5 Mg/m³.

a b c (Å): 3.7528 3.7528 7.5723
angles (deg): 90.00 90.00 90.00
With the nearest neighbours (Å) after each atom.
Positions (direct):
Lu (0.0000, 0.0000, 0.0000)  8 Te 3.22
Pu (0.0000, 0.0000, 0.5000)  8 Te 3.30
Te (0.5000, 0.5000, 0.2412)  4 Lu 3.22, 4 Pu 3.30
Te (0.5000, 0.5000, 0.7588)  4 Lu 3.22, 4 Pu 3.30


Q.
Density functional theory data (PBE-GGA) for a relaxed structure of LuPuTe2.

Results
The crystal system is cubic. As for the space group: Fm-3m, No. 225. The calculation puts the calculated volume at 106 Å³ per cell. The theoretical density comes out at 10.5 Mg/m³.

a b c (Å): 5.3204 5.3204 5.3204
angles (deg): 60.00 60.00 60.00
With the nearest neighbours (Å) after each atom.
Positions (direct):
Lu (0.0000, 0.0000, 0.0000)  8 Te 3.26
Pu (0.5000, 0.5000, 0.5000)  8 Te 3.26
Te (0.2500, 0.2500, 0.2500)  4 Pu 3.26, 4 Lu 3.26
Te (0.7500, 0.7500, 0.7500)  4 Pu 3.26, 4 Lu 3.26


The most stable arrangement is P, and the next structure is 0.8 kJ/mol of atoms less stable.


P.
Density functional theory data (PBE-GGA) for a relaxed structure of Lu2PuTh.

Results
The crystal system is tetragonal. As for the space group: P4/mmm, No. 123. The calculation puts the calculated volume at 118 Å³ per cell. The theoretical density comes out at 11.6 Mg/m³.

a b c (Å): 3.4733 3.4733 9.8223
angles (deg): 90.00 90.00 90.00
With the nearest neighbours (Å) after each atom.
Positions (direct):
Lu (0.0000, 0.0000, 0.2469)  4 Pu 3.45, 4 Lu 3.47, 4 Th 3.49
Lu (0.0000, 0.0000, 0.7531)  4 Pu 3.45, 4 Lu 3.47, 4 Th 3.49
Pu (0.5000, 0.5000, 0.0000)  8 Lu 3.45, 4 Pu 3.47
Th (0.5000, 0.5000, 0.5000)  4 Th 3.47, 8 Lu 3.49


Q.
Density functional theory data (PBE-GGA) for a relaxed structure of Lu2PuTh.

Results
The crystal system is cubic. As for the space group: Fm-3m, No. 225. The calculation puts the calculated volume at 120 Å³ per cell. The theoretical density comes out at 11.5 Mg/m³.

a b c (Å): 5.5301 5.5301 5.5301
angles (deg): 60.00 60.00 60.00
With the nearest neighbours (Å) after each atom.
Positions (direct):
Lu (0.2500, 0.2500, 0.2500)  4 Th 3.39, 4 Pu 3.39
Lu (0.7500, 0.7500, 0.7500)  4 Th 3.39, 4 Pu 3.39
Pu (0.0000, 0.0000, 0.0000)  8 Lu 3.39
Th (0.5000, 0.5000, 0.5000)  8 Lu 3.39


The most stable arrangement is P, and the next structure is 10.1 kJ/mol of atoms less stable.


P.
Density functional theory data (PBE-GGA) for a relaxed structure of LuPuTi2.

Results
The crystal system is tetragonal. As for the space group: P4/mmm, No. 123. The calculation puts the calculated volume at 86 Å³ per cell. The theoretical density comes out at 10.0 Mg/m³.

a b c (Å): 3.5510 3.5510 6.7979
angles (deg): 90.00 90.00 90.00
With the nearest neighbours (Å) after each atom.
Positions (direct):
Lu (0.0000, 0.0000, 0.0000)  8 Ti 3.20, 2 Pu 3.40, 4 Lu 3.55
Pu (0.0000, 0.0000, 0.5000)  8 Ti 2.88
Ti (0.5000, 0.5000, 0.2927)  1 Ti 2.82, 4 Pu 2.88
Ti (0.5000, 0.5000, 0.7073)  1 Ti 2.82, 4 Pu 2.88


Q.
Density functional theory data (PBE-GGA) for a relaxed structure of LuPuTi2.

Results
The crystal system is tetragonal. As for the space group: P4/mmm, No. 123. The calculation puts the calculated volume at 86 Å³ per cell. The theoretical density comes out at 10.0 Mg/m³.

a b c (Å): 5.1084 5.1084 3.2800
angles (deg): 90.00 90.00 90.00
With the nearest neighbours (Å) after each atom.
Positions (direct):
Lu (0.0000, 0.0000, 0.0000)  8 Ti 3.04, 2 Lu 3.28
Pu (0.5000, 0.5000, 0.0000)  8 Ti 3.04, 2 Pu 3.28
Ti (0.0000, 0.5000, 0.5000)  4 Pu 3.04, 4 Lu 3.04, 2 Ti 3.28
Ti (0.5000, 0.0000, 0.5000)  4 Pu 3.04, 4 Lu 3.04, 2 Ti 3.28


The most stable arrangement is P, and the next structure is 6.8 kJ/mol of atoms less stable.


P.
Density functional theory data (PBE-GGA) for a relaxed structure of LuPuTl2.

Results
The crystal system is tetragonal. As for the space group: P4/mmm, No. 123. The calculation puts the calculated volume at 108 Å³ per cell. The theoretical density comes out at 12.8 Mg/m³.

a b c (Å): 4.9295 4.9295 4.4343
angles (deg): 90.00 90.00 90.00
With the nearest neighbours (Å) after each atom.
Positions (direct):
Lu (0.0000, 0.0000, 0.0000)  8 Tl 3.32, 4 Pu 3.49
Pu (0.5000, 0.5000, 0.0000)  8 Tl 3.32, 4 Lu 3.49
Tl (0.0000, 0.5000, 0.5000)  4 Pu 3.32, 4 Lu 3.32, 4 Tl 3.49
Tl (0.5000, 0.0000, 0.5000)  4 Pu 3.32, 4 Lu 3.32, 4 Tl 3.49


Q.
Density functional theory data (PBE-GGA) for a relaxed structure of LuPuTl2.

Results
The crystal system is cubic. As for the space group: Fm-3m, No. 225. The calculation puts the calculated volume at 109 Å³ per cell. The theoretical density comes out at 12.6 Mg/m³.

a b c (Å): 5.3565 5.3565 5.3565
angles (deg): 60.00 60.00 60.00
With the nearest neighbours (Å) after each atom.
Positions (direct):
Lu (0.0000, 0.0000, 0.0000)  8 Tl 3.28
Pu (0.5000, 0.5000, 0.5000)  8 Tl 3.28
Tl (0.2500, 0.2500, 0.2500)  4 Pu 3.28, 4 Lu 3.28
Tl (0.7500, 0.7500, 0.7500)  4 Pu 3.28, 4 Lu 3.28


The most stable arrangement is Q, and the next structure is 1.5 kJ/mol of atoms less stable.


P.
Density functional theory data (PBE-GGA) for a relaxed structure of LuPuTl.

Results
The crystal system is trigonal. As for the space group: P3m1, No. 156. The calculation puts the calculated volume at 83 Å³ per cell. The theoretical density comes out at 12.5 Mg/m³.

a b c (Å): 5.2863 5.2863 3.4281
angles (deg): 90.00 90.00 120.00
With the nearest neighbours (Å) after each atom.
Positions (direct):
Lu (0.0000, 0.0000, 0.0000)  3 Tl 3.12, 3 Pu 3.41, 2 Lu 3.43
Pu (0.6667, 0.3333, 0.5539)  3 Tl 3.30, 6 Lu 3.41-3.59, 2 Pu 3.43
Tl (0.3333, 0.6667, 0.1878)  3 Lu 3.12, 3 Pu 3.30, 2 Tl 3.43


Q.
Density functional theory data (PBE-GGA) for a relaxed structure of LuPuTl.

Results
The crystal system is tetragonal. As for the space group: I4mm, No. 107. The calculation puts the calculated volume at 83 Å³ per cell. The theoretical density comes out at 12.5 Mg/m³.

a b c (Å): 7.5172 7.5172 7.5172
angles (deg): 153.76 153.76 37.44
With the nearest neighbours (Å) after each atom.
Positions (direct):
Lu (0.0000, 0.0000, 0.0000)  4 Tl 3.28, 4 Lu 3.41, 4 Pu 3.51
Pu (0.6791, 0.6791, 0.0000)  4 Tl 3.36, 4 Pu 3.41, 4 Lu 3.51
Tl (0.3435, 0.3435, 0.0000)  4 Lu 3.28, 4 Pu 3.36, 4 Tl 3.41


The most stable arrangement is Q, and the next structure is 3.4 kJ/mol of atoms less stable.


P.
Density functional theory data (PBE-GGA) for a relaxed structure of TmLu2Pu.

Results
The crystal system is tetragonal. As for the space group: P4/mmm, No. 123. The calculation puts the calculated volume at 116 Å³ per cell. The theoretical density comes out at 10.9 Mg/m³.

a b c (Å): 4.8803 4.8803 4.8751
angles (deg): 90.00 90.00 90.00
With the nearest neighbours (Å) after each atom.
Positions (direct):
Tm (0.0000, 0.0000, 0.0000)  8 Lu 3.45, 4 Pu 3.45
Lu (0.0000, 0.5000, 0.5000)  4 Pu 3.45, 4 Tm 3.45, 4 Lu 3.45
Lu (0.5000, 0.0000, 0.5000)  4 Pu 3.45, 4 Tm 3.45, 4 Lu 3.45
Pu (0.5000, 0.5000, 0.0000)  8 Lu 3.45, 4 Tm 3.45


Q.
Density functional theory data (PBE-GGA) for a relaxed structure of TmLu2Pu.

Results
The crystal system is cubic. As for the space group: Fm-3m, No. 225. The calculation puts the calculated volume at 117 Å³ per cell. The theoretical density comes out at 10.9 Mg/m³.

a b c (Å): 5.4822 5.4822 5.4822
angles (deg): 60.00 60.00 60.00
With the nearest neighbours (Å) after each atom.
Positions (direct):
Tm (0.0000, 0.0000, 0.0000)  8 Lu 3.36
Lu (0.2500, 0.2500, 0.2500)  4 Pu 3.36, 4 Tm 3.36
Lu (0.7500, 0.7500, 0.7500)  4 Pu 3.36, 4 Tm 3.36
Pu (0.5000, 0.5000, 0.5000)  8 Lu 3.36


The most stable arrangement is P, and the next structure is 2.8 kJ/mol of atoms less stable.